[1]
A geometry-optimized LiI2O2 structure. Source: the Alexandria database, functional PBE-GGA.

## Properties
* formation energy from raw total energies: -0.20 eV per atom
* E_tot: -3.18 eV per atom

a = 7.8878 Å, b = 7.8878 Å, c = 3.9530 Å
α = 90.00°, β = 90.00°, γ = 90.00°
Closest atoms and distances in Å follow each position.
Fractional positions:
I (0.8136, 0.6864, 0.0000)  2 O 2.13
Li (0.5000, 0.5000, 0.0000)  4 I 2.88
I (0.6864, 0.1864, 0.0000)  2 O 2.13
O (0.7567, 0.2567, 0.5000)  2 I 2.13
O (0.7433, 0.7567, 0.5000)  2 I 2.13
O (0.2433, 0.7433, 0.5000)  2 I 2.13
O (0.2567, 0.2433, 0.5000)  2 I 2.13
I (0.1864, 0.3136, 0.0000)  2 O 2.13
I (0.3136, 0.8136, 0.0000)  2 O 2.13
Li (0.0000, 0.0000, 0.0000)  4 I 2.88

***

[2]
A geometry-optimized LiI2O2 structure. Source: the Alexandria database, functional PBE-GGA.

## Properties
* formation energy from raw total energies: 0.04 eV per atom
* E_tot: -2.95 eV per atom

a = 4.9657 Å, b = 4.9657 Å, c = 5.9960 Å
α = 65.54°, β = 65.54°, γ = 90.00°
Closest atoms and distances in Å follow each position.
Fractional positions:
O (0.7500, 0.2500, 0.5000)  4 I 2.49
I (0.2693, 0.2693, 0.4614)  4 O 2.49, 1 Li 2.62
Li (0.0000, 0.0000, 0.0000)  2 I 2.62
I (0.7307, 0.7307, 0.5386)  4 O 2.49, 1 Li 2.62
O (0.2500, 0.7500, 0.5000)  4 I 2.49

***

[3]
A geometry-optimized Li3IO structure. Source: the Alexandria database, functional PBE-GGA.

## Properties
* formation energy from raw total energies: -1.51 eV per atom
* E_tot: -3.96 eV per atom

a = 3.9638 Å, b = 5.3780 Å, c = 9.9228 Å
α = 99.09°, β = 90.00°, γ = 111.62°
Closest atoms and distances in Å follow each position.
Fractional positions:
O (0.8661, 0.7322, 0.0546)  6 Li 1.86-2.04
Li (0.0584, 0.1167, 0.1081)  2 O 1.90-1.91
I (0.6030, 0.2061, 0.3146)  5 Li 2.83-3.08
Li (0.3224, 0.6448, 0.0262)  3 O 1.92-2.04
O (0.1339, 0.2678, 0.9454)  6 Li 1.86-2.04
I (0.3970, 0.7939, 0.6854)  5 Li 2.83-3.08
Li (0.8663, 0.7327, 0.2420)  1 O 1.86
Li (0.9416, 0.8833, 0.8919)  2 O 1.90-1.91
Li (0.6776, 0.3552, 0.9738)  3 O 1.92-2.04
Li (0.1337, 0.2673, 0.7580)  1 O 1.86

***

[4]
A geometry-optimized LiIO2 structure. Source: the Alexandria database, functional PBE-GGA.

## Properties
* formation energy from raw total energies: -0.43 eV per atom
* E_tot: -3.78 eV per atom

a = 4.4387 Å, b = 4.4387 Å, c = 7.0561 Å
α = 71.67°, β = 71.67°, γ = 90.00°
Closest atoms and distances in Å follow each position.
Fractional positions:
O (0.3750, 0.3635, 0.7500)  2 I 2.20, 2 Li 2.25
Li (0.5000, 0.5000, 0.0000)  4 O 2.25
Li (0.2500, 0.7500, 0.5000)  4 O 2.25
O (0.1135, 0.6250, 0.2500)  2 I 2.20, 2 Li 2.25
I (0.0000, 0.0000, 0.0000)  4 O 2.20
O (0.8750, 0.8865, 0.7500)  2 I 2.20, 2 Li 2.25
O (0.6365, 0.1250, 0.2500)  2 I 2.20, 2 Li 2.25
I (0.7500, 0.2500, 0.5000)  4 O 2.20

***

[5]
A geometry-optimized LiI2O2 structure. Source: the Alexandria database, functional PBE-GGA.

## Properties
* formation energy from raw total energies: 0.53 eV per atom
* E_tot: -2.46 eV per atom

a = 4.2629 Å, b = 4.2629 Å, c = 5.3945 Å
α = 90.00°, β = 90.00°, γ = 90.00°
Closest atoms and distances in Å follow each position.
Fractional positions:
Li (0.0000, 0.0000, 0.0000)  4 O 2.13
O (0.5000, 0.0000, 0.0000)  2 Li 2.13
I (0.5000, 0.5000, 0.5000)  4 I 3.01
O (0.0000, 0.5000, 0.0000)  2 Li 2.13
I (0.0000, 0.0000, 0.5000)  2 Li 2.70, 4 I 3.01

***

[6]
A geometry-optimized Li7I3O2 structure. Source: the Alexandria database, functional PBE-GGA.

## Properties
* formation energy from raw total energies: -1.46 eV per atom
* E_tot: -3.79 eV per atom

a = 4.1216 Å, b = 4.1216 Å, c = 12.7804 Å
α = 99.38°, β = 99.38°, γ = 90.00°
Closest atoms and distances in Å follow each position.
Fractional positions:
O (0.9160, 0.9160, 0.8341)  6 Li 1.89-2.06
I (0.3178, 0.3178, 0.6396)  8 Li 2.96-3.13
Li (0.9136, 0.4132, 0.8291)  2 O 2.06
I (0.6822, 0.6822, 0.3604)  8 Li 2.96-3.13
O (0.0840, 0.0840, 0.1659)  6 Li 1.89-2.06
Li (0.8389, 0.8389, 0.6819)  1 O 1.89
Li (0.1611, 0.1611, 0.3181)  1 O 1.89
Li (0.4132, 0.9136, 0.8291)  2 O 2.06
Li (0.0000, 0.0000, 0.0000)  2 O 2.06
Li (0.5868, 0.0864, 0.1709)  2 O 2.06
I (0.5000, 0.5000, 0.0000)  12 Li 2.91-2.96
Li (0.0864, 0.5868, 0.1709)  2 O 2.06

***

[7]
A geometry-optimized LiI2O4 structure. Source: the Alexandria database, functional PBE-GGA.

## Properties
* formation energy from raw total energies: -0.14 eV per atom
* E_tot: -3.69 eV per atom

a = 4.0129 Å, b = 4.0129 Å, c = 6.6386 Å
α = 72.41°, β = 72.41°, γ = 90.00°
Closest atoms and distances in Å follow each position.
Fractional positions:
Li (0.0000, 0.0000, 0.0000)  4 O 2.01
I (0.6361, 0.6361, 0.7277)  1 O 1.89
O (0.7934, 0.7934, 0.4132)  1 I 1.89
O (0.5000, 0.0000, 0.0000)  2 Li 2.01
O (0.0000, 0.5000, 0.0000)  2 Li 2.01
O (0.2066, 0.2066, 0.5868)  1 I 1.89
I (0.3639, 0.3639, 0.2723)  1 O 1.89

***

[8]
A geometry-optimized Li2I2O7 structure. Source: the Alexandria database, functional PBE-GGA.

## Properties
* formation energy from raw total energies: -0.70 eV per atom
* E_tot: -4.48 eV per atom

a = 5.6722 Å, b = 6.1136 Å, c = 5.6722 Å
α = 90.19°, β = 66.72°, γ = 89.81°
Closest atoms and distances in Å follow each position.
Fractional positions:
Li (0.7411, 0.5000, 0.7411)  4 O 2.02-2.08
Li (0.2589, 0.5000, 0.2589)  4 O 2.02-2.08
O (0.6084, 0.6598, 0.0824)  1 I 1.82, 1 Li 2.02
I (0.2811, 0.1677, 0.7189)  4 O 1.82-2.04
O (0.9176, 0.6598, 0.3916)  1 I 1.82, 1 Li 2.02
O (0.4198, 0.7995, 0.5802)  1 I 1.88
O (0.5802, 0.2005, 0.4198)  1 I 1.88
O (0.0000, 0.0000, 0.0000)  2 I 2.04
O (0.0824, 0.3402, 0.6084)  1 I 1.82, 1 Li 2.02
O (0.3916, 0.3402, 0.9176)  1 I 1.82, 1 Li 2.02
I (0.7189, 0.8323, 0.2811)  4 O 1.82-2.04

***

[9]
A geometry-optimized Li2I2O7 structure. Source: the Alexandria database, functional PBE-GGA.

## Properties
* formation energy from raw total energies: -0.78 eV per atom
* E_tot: -4.56 eV per atom

a = 5.5379 Å, b = 5.3732 Å, c = 5.3732 Å
α = 102.08°, β = 86.23°, γ = 86.23°
Closest atoms and distances in Å follow each position.
Fractional positions:
O (0.1831, 0.9576, 0.6240)  1 I 1.82, 1 Li 2.03
Li (0.0396, 0.7238, 0.3254)  4 O 2.03-2.07
Li (0.0396, 0.3254, 0.7238)  4 O 2.03-2.07
O (0.8574, 0.4519, 0.4519)  1 I 1.83, 2 Li 2.03
O (0.7272, 0.9569, 0.3283)  1 I 1.81
I (0.6372, 0.2671, 0.2671)  4 O 1.81-1.86
O (0.1831, 0.6240, 0.9576)  1 I 1.82, 1 Li 2.03
O (0.7272, 0.3283, 0.9569)  1 I 1.81
O (0.3431, 0.0957, 0.0957)  2 I 1.93-2.09
O (0.3730, 0.4605, 0.4605)  1 I 1.86
I (0.3896, 0.8088, 0.8088)  3 O 1.82-1.93

***

[10]
A geometry-optimized LiI2O structure. Source: the Alexandria database, functional PBE-GGA.

## Properties
* formation energy from raw total energies: 0.32 eV per atom
* E_tot: -2.17 eV per atom

a = 4.9465 Å, b = 4.9465 Å, c = 4.9465 Å
α = 60.00°, β = 60.00°, γ = 60.00°
Closest atoms and distances in Å follow each position.
Fractional positions:
I (0.2500, 0.2500, 0.2500)  4 O 3.03, 4 Li 3.03
O (0.5000, 0.5000, 0.5000)  8 I 3.03
I (0.7500, 0.7500, 0.7500)  4 Li 3.03, 4 O 3.03
Li (0.0000, 0.0000, 0.0000)  8 I 3.03

***

[11]
A geometry-optimized LiI2O2 structure. Source: the Alexandria database, functional PBE-GGA.

## Properties
* formation energy from raw total energies: -0.40 eV per atom
* E_tot: -3.39 eV per atom

a = 4.0657 Å, b = 4.0657 Å, c = 8.2664 Å
α = 90.00°, β = 90.00°, γ = 90.00°
Closest atoms and distances in Å follow each position.
Fractional positions:
I (0.0000, 0.0000, 0.5000)  4 Li 2.87
Li (0.5000, 0.5000, 0.5000)  4 I 2.87
O (0.5000, 0.0000, 0.0000)  2 I 2.03
O (0.0000, 0.5000, 0.0000)  2 I 2.03
I (0.0000, 0.0000, 0.0000)  4 O 2.03

***

[12]
A geometry-optimized Li5IO6 structure. Source: the Alexandria database, functional PBE-GGA.

## Properties
* formation energy from raw total energies: -1.54 eV per atom
* E_tot: -4.95 eV per atom

a = 5.1757 Å, b = 5.1757 Å, c = 14.4953 Å
α = 90.00°, β = 90.00°, γ = 120.00°
Closest atoms and distances in Å follow each position.
Fractional positions:
Li (0.8916, 0.7831, 0.1667)  6 O 2.10-2.30
O (0.5877, 0.7720, 0.7448)  1 I 1.91, 2 Li 2.08-2.10
Li (0.8847, 0.4424, 0.5000)  4 O 2.08-2.09
Li (0.2250, 0.4501, 0.1667)  6 O 2.11-2.28
Li (0.5531, 0.4469, 0.3333)  6 O 2.10-2.15
O (0.8832, 0.8104, 0.4080)  1 I 1.90, 4 Li 2.10-2.12
I (0.8868, 0.1132, 0.3333)  6 O 1.90-1.91
O (0.5858, 0.4739, 0.5898)  1 I 1.91, 4 Li 2.09-2.14
O (0.5261, 0.4142, 0.0769)  1 I 1.91, 4 Li 2.09-2.14
Li (0.8939, 0.4469, 0.0000)  6 O 2.10-2.15
Li (0.5616, 0.7808, 0.0000)  6 O 2.12-2.15
Li (0.2192, 0.7808, 0.3333)  6 O 2.12-2.15
O (0.2280, 0.4123, 0.9219)  1 I 1.91, 2 Li 2.08-2.10
O (0.1896, 0.1168, 0.2587)  1 I 1.90, 4 Li 2.10-2.12
O (0.5858, 0.1119, 0.4102)  1 I 1.91, 4 Li 2.09-2.14
Li (0.2169, 0.1084, 0.5000)  6 O 2.10-2.30
O (0.8881, 0.4142, 0.2564)  1 I 1.91, 4 Li 2.09-2.14
O (0.1843, 0.4123, 0.4114)  1 I 1.91, 2 Li 2.08-2.10
Li (0.2192, 0.4384, 0.6667)  6 O 2.12-2.15
Li (0.5531, 0.1061, 0.6667)  6 O 2.10-2.15
O (0.2280, 0.8157, 0.0781)  1 I 1.91, 2 Li 2.08-2.10
Li (0.2250, 0.7750, 0.8333)  6 O 2.11-2.28
O (0.1896, 0.0728, 0.7413)  1 I 1.90, 4 Li 2.10-2.12
I (0.8868, 0.7735, 0.6667)  6 O 1.90-1.91
Li (0.5576, 0.4424, 0.8333)  4 O 2.08-2.09
O (0.5877, 0.8157, 0.2552)  1 I 1.91, 2 Li 2.08-2.10
O (0.5261, 0.1119, 0.9231)  1 I 1.91, 4 Li 2.09-2.14
Li (0.5499, 0.7750, 0.5000)  6 O 2.11-2.28
O (0.9272, 0.1168, 0.0747)  1 I 1.90, 4 Li 2.10-2.12
O (0.8832, 0.0728, 0.5920)  1 I 1.90, 4 Li 2.10-2.12
O (0.1843, 0.7720, 0.5886)  1 I 1.91, 2 Li 2.08-2.10
Li (0.5576, 0.1153, 0.1667)  4 O 2.08-2.09
Li (0.8916, 0.1084, 0.8333)  6 O 2.10-2.30
O (0.9272, 0.8104, 0.9253)  1 I 1.90, 4 Li 2.10-2.12
I (0.2265, 0.1132, 0.0000)  6 O 1.90-1.91
O (0.8881, 0.4739, 0.7436)  1 I 1.91, 4 Li 2.09-2.14